No. 1
Density functional theory data (PBE) for crystalline Cr3AgP at its relaxed geometry.

- ΔE to the lowest computed polymorph: 0.00 eV per formula unit
- Formation energy from the elements: 0.5479 eV/atom
- V: 16.5 Å³/atom
- Electronic total energy: -6.8784 eV/atom
- ρ: 5934 kg/m³

Cell: 4.3533 4.3533 4.3533 Å, 90.00 90.00 90.00°
Last column: nearest neighbours and their distance in Å.
Fractional positions:
P  0.0000  0.0000  0.0000  6 Cr 2.18
Cr  0.0000  0.5000  0.0000  2 P 2.18
Cr  0.5000  0.0000  0.0000  2 P 2.18
Cr  0.0000  0.0000  0.5000  2 P 2.18
Ag  0.5000  0.5000  0.5000  12 Cr 3.08

---

No. 2
Density functional theory data (PBE) for crystalline CaCo3SiB at its relaxed geometry.

- V: 13.6 Å³/atom
- Electronic total energy: -6.0901 eV/atom
- E_form (uncorrected): -18.0 kJ per mole of atoms
- ρ: 5216 kg/m³

Cell: 5.5043 5.3544 6.1396 Å, 115.85 90.00 90.00°
Last column: nearest neighbours and their distance in Å.
Fractional positions:
Co  0.5000  0.7474  0.0000  2 B 1.93
Co  0.0000  0.2526  0.0000  2 B 1.93
Co  0.5000  0.2526  0.0000  2 B 1.93
Co  0.2500  0.1736  0.3473  1 B 1.95
Co  0.7500  0.8264  0.6527  1 B 1.95
Co  0.0000  0.7474  0.0000  2 B 1.93
Si  0.7500  0.6235  0.2470  5 Co 2.24-2.35
Si  0.2500  0.3765  0.7530  5 Co 2.24-2.35
Ca  0.2500  0.7411  0.4822  4 Co 2.78-2.91, 1 B 2.83, 4 Si 3.04-3.07
Ca  0.7500  0.2589  0.5178  4 Co 2.78-2.91, 1 B 2.83, 4 Si 3.04-3.07
B  0.7500  0.0030  0.0060  5 Co 1.93-1.95
B  0.2500  0.9970  0.9940  5 Co 1.93-1.95

---

No. 3
Density functional theory data (PBE) for crystalline NiIr2Cl2 at its relaxed geometry.

- ΔE to the lowest computed polymorph: 0.00 eV per formula unit
- V: 23.1 Å³/atom
- Electronic total energy: -4.5102 eV/atom
- E_form (uncorrected): 89.6 kJ per mole of atoms
- ρ: 7379 kg/m³

Cell: 3.4028 3.4028 10.2756 Å, 80.47 80.47 90.00°
Last column: nearest neighbours and their distance in Å.
Fractional positions:
Ir  0.2500  0.7500  0.5000  4 Ir 2.41
Ir  0.7500  0.2500  0.5000  4 Ir 2.41
Cl  0.5728  0.5728  0.8543  4 Ni 2.81, 1 Cl 2.91
Cl  0.4272  0.4272  0.1457  4 Ni 2.81, 1 Cl 2.91
Ni  0.0000  0.0000  0.0000  8 Cl 2.81

---

| no. | spin magnetization (μB/f.u.) |
| --- | --- |
| 1 | 7.566 |
| 2 | 0.791 |
| 3 | 1.733 |